Entry from the Alexandria database: an optimized crystal structure of Nd4Cu2Pt5 (GGA-PBE).

```
Nd4Cu2Pt5
1.0
-1.7297 -3.5452 0.1087
0.1146 -0.2781 -7.2495
7.5023 -3.6482 0.3970
Nd Cu Pt
4 2 5
direct
0.5000 0.7317 0.6208
0.5000 0.2297 0.8770
0.5000 0.2683 0.3792
0.5000 0.7703 0.1230
0.0000 0.0794 0.6257
0.0000 0.9206 0.3743
0.0000 0.5684 0.3393
0.0000 0.1340 0.1335
0.0000 0.5000 0.0000
0.0000 0.8660 0.8665
0.0000 0.4316 0.6607
```

Properties
E_form = -0.8655 eV/atom
Magnetization = 0.000 μB per formula unit
Space-group type = P2/m, No. 10
V = 21.7 Å³/atom
DOS at the Fermi energy = 4.34 states/eV per cell

Entry from the Alexandria database: an optimized crystal structure of ZrSc2PaN4 (GGA-PBE).

```
ZrSc2PaN4
1.0
-0.5437 0.9754 3.1054
-5.2040 -2.3500 -0.1729
0.3268 -5.4411 1.7663
Zr Sc Pa N
1 2 1 4
direct
0.5000 0.5000 0.0000
0.0000 0.0000 0.0000
0.5000 0.0000 0.5000
0.0000 0.5000 0.5000
0.0000 0.7518 0.7497
0.0000 0.2482 0.2503
0.5000 0.7612 0.2418
0.5000 0.2388 0.7582
```

Properties
Magnetization = 0.000 μB per formula unit
ΔE_f (raw) = -1754 meV/atom
Space-group type = P2/m, No. 10
V = 12.7 Å³/atom
DOS at the Fermi energy = 3.60 states/eV per cell

Entry from the Alexandria database: an optimized crystal structure of CrCuNi2 (GGA-PBE).

```
CrCuNi2
1.0
-2.5186 -1.1781 -2.9586
0.2444 -3.7675 -1.4938
-2.9378 -2.6900 0.7861
Cr Cu Ni
1 1 2
direct
0.5000 0.5000 0.5000
0.7500 0.7500 0.7500
0.0000 0.0000 0.0000
0.2500 0.2500 0.2500
```

Properties
E_form = 0.2053 eV/atom
Magnetization = 2.995 μB per formula unit
Space-group type = F-43m, No. 216
V = 11.8 Å³/atom
DOS at the Fermi energy = 6.91 states/eV per cell

Entry from the Alexandria database: an optimized crystal structure of ZrAg2N2 (GGA-PBE).

```
ZrAg2N2
1.0
-1.9639 -4.2543 -3.9320
2.8959 -4.3168 3.2241
-3.5177 -0.5794 2.3839
Zr Ag N
2 4 4
direct
0.0000 0.0000 0.0000
0.5000 0.5000 0.0000
0.1820 0.6820 0.5000
0.6820 0.8180 0.5000
0.8180 0.3180 0.5000
0.3180 0.1820 0.5000
0.2175 0.7175 0.0000
0.7175 0.7825 0.0000
0.7825 0.2825 0.0000
0.2825 0.2175 0.0000
```

Properties
Magnetization = 0.000 μB per formula unit
ΔE_f (raw) = 168 meV/atom
E above lowest polymorph = 0 meV/atom
Space-group type = P4/mbm, No. 127
V = 16.0 Å³/atom
DOS at the Fermi energy = 6.09 states/eV per cell

> Which value of DOS at the Fermi energy does entry 2 give?

3.60 states/eV per cell

> Among the records above, which one has the highest DOS at the Fermi energy?

CrCuNi2